Material: AlTlSn2Se6
Method: DFT, PBE
State: relaxed

a = 10.2193 Å, b = 10.2193 Å, c = 7.6110 Å
α = 106.31°, β = 106.31°, γ = 92.92°
With the nearest neighbours (Å) after each atom.
Sites, in units of the cell vectors:
Al 0.2146 0.7854 0.7500  4 Se 2.38-2.46
Al 0.7854 0.2146 0.2500  4 Se 2.38-2.46
Tl 0.1032 0.8968 0.2500  6 Se 3.24-3.33
Tl 0.8968 0.1032 0.7500  6 Se 3.24-3.33
Sn 0.2278 0.3871 0.3475  4 Se 2.57-2.64
Sn 0.3871 0.2278 0.8475  4 Se 2.57-2.64
Sn 0.6129 0.7722 0.1525  4 Se 2.57-2.64
Sn 0.7722 0.6129 0.6525  4 Se 2.57-2.64
Se 0.0165 0.1973 0.2154  1 Al 2.46, 1 Sn 2.59
Se 0.1973 0.0165 0.7154  1 Al 2.46, 1 Sn 2.59
Se 0.2048 0.6471 0.4367  1 Al 2.38, 1 Sn 2.59
Se 0.2971 0.4246 0.0544  2 Sn 2.57-2.64
Se 0.3529 0.7952 0.0633  1 Al 2.38, 1 Sn 2.59
Se 0.4246 0.2971 0.5544  2 Sn 2.57-2.64
Se 0.5754 0.7029 0.4456  2 Sn 2.57-2.64
Se 0.6471 0.2048 0.9367  1 Al 2.38, 1 Sn 2.59
Se 0.7029 0.5754 0.9456  2 Sn 2.57-2.64
Se 0.7952 0.3529 0.5633  1 Al 2.38, 1 Sn 2.59
Se 0.8027 0.9835 0.2846  1 Al 2.46, 1 Sn 2.59
Se 0.9835 0.8027 0.7846  1 Al 2.46, 1 Sn 2.59

* SG: C2/c (15)
* uncorrected formation energy: -0.381 eV/atom

***

Material: Hf2TiAlO
Method: DFT, PBE
State: relaxed

a = 4.4532 Å, b = 4.4532 Å, c = 4.0418 Å
α = 90.00°, β = 90.00°, γ = 90.00°
With the nearest neighbours (Å) after each atom.
Sites, in units of the cell vectors:
Hf 0.0000 0.5000 0.0000  2 O 2.23
Hf 0.5000 0.0000 0.0000  2 O 2.23
Ti 0.0000 0.0000 0.5000  2 O 2.02
Al 0.5000 0.5000 0.5000  8 Hf 3.01, 4 Ti 3.15
O 0.0000 0.0000 0.0000  2 Ti 2.02, 4 Hf 2.23

* SG: P4/mmm (123)
* relative energy among the computed polymorphs: 0.000 eV/atom
* uncorrected formation energy: -1.105 eV/atom

***

Q: Look up the uncorrected formation energy of the second one.
A: -1.105 eV/atom